[1]
InPdPt after structural relaxation, computed with PBE-GGA.

uncorrected energy = -14.72 eV/cell
symmetry = F-43m

POSCAR file:
```
InPdPt
1.0
0.0000 3.1245 3.1245
3.1245 0.0000 3.1245
3.1245 3.1245 0.0000
In Pd Pt
1 1 1
Direct
0.0000 0.0000 0.0000
0.5000 0.5000 0.5000
0.2500 0.2500 0.2500
```



[2]
CsMoBr3 after structural relaxation, computed with PBE-GGA.

uncorrected energy = -20.35 eV/cell
symmetry = R3m

POSCAR file:
```
CsMoBr3
1.0
3.8788 2.2394 3.1583
-3.8788 2.2394 3.1583
0.0000 -4.4788 3.1583
Cs Mo Br
1 1 3
Direct
0.0000 0.0000 0.0000
0.4992 0.4992 0.4992
0.0003 0.5030 0.5030
0.5030 0.0003 0.5030
0.5030 0.5030 0.0003
```



[3]
LiNp2Se6 after structural relaxation, computed with PBE-GGA.

uncorrected energy = -57.08 eV/cell
symmetry = Immm

POSCAR file:
```
LiNp2Se6
1.0
-1.9897 2.7375 9.9657
1.9897 -2.7375 9.9657
1.9897 2.7375 -9.9657
Li Np Se
1 2 6
Direct
0.0000 0.0000 0.0000
0.3248 0.8248 0.5000
0.6752 0.1752 0.5000
0.1600 0.4076 0.7524
0.2213 0.2213 0.0000
0.3448 0.5924 0.7524
0.6552 0.4076 0.2476
0.7787 0.7787 0.0000
0.8400 0.5924 0.2476
```



[4]
PmCl2 after structural relaxation, computed with PBE-GGA.

uncorrected energy = -20.34 eV/cell
relative energy among the computed polymorphs = 1.360 eV per atom
symmetry = Fd-3m

POSCAR file:
```
PmCl2
1.0
0.0000 4.1890 4.1890
4.1890 0.0000 4.1890
4.1890 4.1890 0.0000
Pm Cl
2 4
Direct
0.1250 0.1250 0.1250
0.8750 0.8750 0.8750
0.0000 0.5000 0.5000
0.5000 0.0000 0.5000
0.5000 0.5000 0.0000
0.5000 0.5000 0.5000
```



[5]
PtPbO3 after structural relaxation, computed with PBE-GGA.

uncorrected energy = -56.39 eV/cell
symmetry = R-3

POSCAR file:
```
PtPbO3
1.0
2.7703 1.5994 5.4666
-2.7703 1.5994 5.4666
0.0000 -3.1988 5.4666
Pt Pb O
2 2 6
Direct
0.1655 0.1655 0.1655
0.8345 0.8345 0.8345
0.3725 0.3725 0.3725
0.6275 0.6275 0.6275
0.0665 0.4370 0.8037
0.1963 0.9335 0.5630
0.4370 0.8037 0.0665
0.5630 0.1963 0.9335
0.8037 0.0665 0.4370
0.9335 0.5630 0.1963
```



[6]
LuZn2Ir after structural relaxation, computed with PBE-GGA.

uncorrected energy = -17.43 eV/cell
energy of formation from the pure elements = -0.3812 eV per atom
symmetry = F-43m

POSCAR file:
```
LuZn2Ir
1.0
0.0000 3.2383 3.2383
3.2383 0.0000 3.2383
3.2383 3.2383 0.0000
Lu Zn Ir
1 2 1
Direct
0.0000 0.0000 0.0000
0.5000 0.5000 0.5000
0.7500 0.7500 0.7500
0.2500 0.2500 0.2500
```



[7]
Te2Pd13 after structural relaxation, computed with PBE-GGA.

uncorrected energy = -74.24 eV/cell
relative energy among the computed polymorphs = 0.000 eV per atom
symmetry = C2/m

POSCAR file:
```
Te2Pd13
1.0
4.5671 -1.4359 0.0000
4.5671 1.4359 0.0000
-0.3203 0.0000 30.6522
Te Pd
2 13
Direct
0.0937 0.0937 0.2668
0.9063 0.9063 0.7332
0.0000 0.0000 0.0000
0.0946 0.0946 0.8484
0.1781 0.1781 0.1140
0.2751 0.2751 0.9622
0.3637 0.3637 0.2321
0.3664 0.3664 0.8092
0.4510 0.4510 0.0756
0.5490 0.5490 0.9244
0.6336 0.6336 0.1908
0.6363 0.6363 0.7679
0.7249 0.7249 0.0378
0.8219 0.8219 0.8860
0.9054 0.9054 0.1516
```



[8]
TaFeSi after structural relaxation, computed with PBE-GGA.

uncorrected energy = -53.96 eV/cell
symmetry = P6_3mc

POSCAR file:
```
TaFeSi
1.0
4.0191 0.0000 0.0000
-2.0096 3.4807 0.0000
0.0000 0.0000 5.9779
Ta Fe Si
2 2 2
Direct
0.0000 0.0000 0.0000
0.0000 0.0000 0.5000
0.3333 0.6667 0.3363
0.6667 0.3333 0.8363
0.3333 0.6667 0.7440
0.6667 0.3333 0.2440
```



[9]
La2Ag2TeSO2 after structural relaxation, computed with PBE-GGA.

uncorrected energy = -48.38 eV/cell
symmetry = P4mm

POSCAR file:
```
La2Ag2TeSO2
1.0
4.1602 0.0000 0.0000
0.0000 4.1602 0.0000
0.0000 0.0000 9.4089
La Ag Te S O
2 2 1 1 2
Direct
0.0000 0.0000 0.0000
0.5000 0.5000 0.2525
0.0000 0.5000 0.5903
0.5000 0.0000 0.5903
0.5000 0.5000 0.8036
0.0000 0.0000 0.4101
0.0000 0.5000 0.1245
0.5000 0.0000 0.1245
```



[10]
K2HfP2O8 after structural relaxation, computed with PBE-GGA.

uncorrected energy = -96.85 eV/cell
symmetry = P-3

POSCAR file:
```
K2HfP2O8
1.0
5.0934 0.0000 0.0000
-2.5467 4.4110 0.0000
0.0000 0.0000 8.9274
K Hf P O
2 1 2 8
Direct
0.3333 0.6667 0.1502
0.6667 0.3333 0.8498
0.0000 0.0000 0.5000
0.3333 0.6667 0.6976
0.6667 0.3333 0.3024
0.0774 0.7197 0.6371
0.2803 0.3577 0.6371
0.3333 0.6667 0.8676
0.3577 0.0774 0.3629
0.6423 0.9226 0.6371
0.6667 0.3333 0.1324
0.7197 0.6423 0.3629
0.9226 0.2803 0.3629
```



[11]
LuNiSbOs after structural relaxation, computed with PBE-GGA.

uncorrected energy = -24.22 eV/cell
symmetry = F-43m

POSCAR file:
```
LuNiSbOs
1.0
0.0000 3.3066 3.3066
3.3066 0.0000 3.3066
3.3066 3.3066 0.0000
Lu Ni Sb Os
1 1 1 1
Direct
0.0000 0.0000 0.0000
0.5000 0.5000 0.5000
0.2500 0.2500 0.2500
0.7500 0.7500 0.7500
```



[12]
MgNb2Sb after structural relaxation, computed with PBE-GGA.

uncorrected energy = -25.26 eV/cell
symmetry = F-43m

POSCAR file:
```
MgNb2Sb
1.0
0.0000 3.3621 3.3621
3.3621 0.0000 3.3621
3.3621 3.3621 0.0000
Mg Nb Sb
1 2 1
Direct
0.0000 0.0000 0.0000
0.2500 0.2500 0.2500
0.5000 0.5000 0.5000
0.7500 0.7500 0.7500
```



[13]
PmPd3Au2 after structural relaxation, computed with PBE-GGA.

uncorrected energy = -30.25 eV/cell
energy of formation from the pure elements = -0.5744 eV per atom
symmetry = Cmmm

POSCAR file:
```
PmPd3Au2
1.0
2.1253 -6.3950 0.0000
2.1253 6.3950 0.0000
0.0000 0.0000 4.0247
Pm Pd Au
1 3 2
Direct
0.0000 0.0000 0.0000
0.1719 0.8281 0.5000
0.5000 0.5000 0.5000
0.8281 0.1719 0.5000
0.3317 0.6683 0.0000
0.6683 0.3317 0.0000
```



[14]
K2Ho2Co after structural relaxation, computed with PBE-GGA.

uncorrected energy = -33.56 eV/cell
symmetry = Fdd2

POSCAR file:
```
K2Ho2Co
1.0
0.0000 6.3052 4.4973
6.2817 0.0000 4.4973
6.2817 6.3052 0.0000
K Ho Co
4 4 2
Direct
0.0084 0.9916 0.2571
0.5071 0.9929 0.2584
0.9916 0.0084 0.7429
0.9929 0.5071 0.2416
0.0800 0.4938 0.7175
0.4938 0.0800 0.7087
0.5325 0.5413 0.1700
0.5413 0.5325 0.7562
0.4862 0.4862 0.5138
0.7362 0.7362 0.7638
```



[15]
IrPd5W2 after structural relaxation, computed with PBE-GGA.

uncorrected energy = -61.05 eV/cell
energy of formation from the pure elements = -0.0499 eV per atom
symmetry = Amm2

POSCAR file:
```
IrPd5W2
1.0
4.5439 0.0000 0.0000
0.0000 2.7336 4.8229
0.0000 -2.7336 4.8229
Ir Pd W
1 5 2
Direct
0.0000 0.0000 0.0000
0.0000 0.4902 0.9943
0.0000 0.9943 0.4902
0.5000 0.1604 0.6463
0.5000 0.6463 0.1604
0.5000 0.6490 0.6490
0.0000 0.4925 0.4925
0.5000 0.1483 0.1483
```



[16]
ErTmFe2Pb after structural relaxation, computed with PBE-GGA.

uncorrected energy = -30.42 eV/cell
symmetry = Amm2

POSCAR file:
```
ErTmFe2Pb
1.0
3.7604 0.0000 0.0000
0.0000 1.9354 7.1014
0.0000 -1.9354 7.1014
Er Tm Fe Pb
1 1 2 1
Direct
0.0000 0.0000 0.0000
0.0000 0.2774 0.2774
0.5000 0.4329 0.4329
0.5000 0.8434 0.8434
0.5000 0.6389 0.6389
```



[17]
GdY2Mg3CuNi2 after structural relaxation, computed with PBE-GGA.

uncorrected energy = -39.67 eV/cell
symmetry = Amm2

POSCAR file:
```
GdY2Mg3CuNi2
1.0
3.9063 0.0000 0.0000
0.0000 6.4049 3.7192
0.0000 -6.4049 3.7192
Gd Y Mg Cu Ni
1 2 3 1 2
Direct
0.0000 0.0000 0.0000
0.0000 0.4192 0.8371
0.0000 0.8371 0.4192
0.5000 0.1739 0.4206
0.5000 0.4206 0.1739
0.5000 0.6628 0.6628
0.0000 0.4190 0.4190
0.5000 0.0854 0.7533
0.5000 0.7533 0.0854
```



[18]
Ho3Cu3Sb4 after structural relaxation, computed with PBE-GGA.

uncorrected energy = -96.99 eV/cell
symmetry = I-43d

POSCAR file:
```
Ho3Cu3Sb4
1.0
-4.7754 4.7754 4.7754
4.7754 -4.7754 4.7754
4.7754 4.7754 -4.7754
Ho Cu Sb
6 6 8
Direct
0.1250 0.7500 0.8750
0.2500 0.6250 0.3750
0.3750 0.2500 0.6250
0.6250 0.3750 0.2500
0.7500 0.8750 0.1250
0.8750 0.1250 0.7500
0.1250 0.8750 0.2500
0.2500 0.1250 0.8750
0.3750 0.6250 0.7500
0.6250 0.7500 0.3750
0.7500 0.3750 0.6250
0.8750 0.2500 0.1250
0.0000 0.3395 0.5000
0.0000 0.8395 0.5000
0.1605 0.1605 0.1605
0.3395 0.5000 0.0000
0.5000 0.0000 0.3395
0.5000 0.0000 0.8395
0.6605 0.6605 0.6605
0.8395 0.5000 0.0000
```



[19]
MgPd after structural relaxation, computed with PBE-GGA.

uncorrected energy = -31.30 eV/cell
symmetry = Pbcm

POSCAR file:
```
MgPd
1.0
5.4925 0.0000 0.0000
0.0000 5.0453 0.0000
0.0000 0.0000 4.7790
Mg Pd
4 4
Direct
0.1599 0.0711 0.2500
0.1599 0.4289 0.7500
0.8401 0.5711 0.2500
0.8401 0.9289 0.7500
0.3513 0.5813 0.2500
0.3513 0.9187 0.7500
0.6487 0.0813 0.2500
0.6487 0.4187 0.7500
```



[20]
AcMg8Zn4 after structural relaxation, computed with PBE-GGA.

uncorrected energy = -23.47 eV/cell
symmetry = I4/mmm

POSCAR file:
```
AcMg8Zn4
1.0
-4.9447 4.9447 2.8071
4.9447 -4.9447 2.8071
4.9447 4.9447 -2.8071
Ac Mg Zn
1 8 4
Direct
0.0000 0.0000 0.0000
0.0000 0.3499 0.3499
0.0000 0.6501 0.6501
0.2809 0.5000 0.7809
0.3499 0.0000 0.3499
0.5000 0.2809 0.7809
0.5000 0.7191 0.2191
0.6501 0.0000 0.6501
0.7191 0.5000 0.2191
0.0000 0.0000 0.5000
0.0000 0.5000 0.0000
0.5000 0.0000 0.0000
0.5000 0.5000 0.5000
```



[21]
Tm4TlPbC2 after structural relaxation, computed with PBE-GGA.

uncorrected energy = -46.27 eV/cell
symmetry = P-6m2

POSCAR file:
```
Tm4TlPbC2
1.0
3.5724 0.0000 0.0000
-1.7862 3.0938 0.0000
0.0000 0.0000 15.9354
Tm Tl Pb C
4 1 1 2
Direct
0.0000 0.0000 0.1668
0.0000 0.0000 0.8332
0.6667 0.3333 0.3315
0.6667 0.3333 0.6685
0.6667 0.3333 0.0000
0.0000 0.0000 0.5000
0.3333 0.6667 0.2515
0.3333 0.6667 0.7485
```



[22]
Zr4FeBiC2 after structural relaxation, computed with PBE-GGA.

uncorrected energy = -68.54 eV/cell
symmetry = P-6m2

POSCAR file:
```
Zr4FeBiC2
1.0
3.3768 0.0000 0.0000
-1.6884 2.9244 0.0000
0.0000 0.0000 14.0181
Zr Fe Bi C
4 1 1 2
Direct
0.0000 0.0000 0.1380
0.0000 0.0000 0.8620
0.3333 0.6667 0.3214
0.3333 0.6667 0.6786
0.3333 0.6667 0.0000
0.0000 0.0000 0.5000
0.6667 0.3333 0.2354
0.6667 0.3333 0.7646
```



[23]
Zn4Ni3 after structural relaxation, computed with PBE-GGA.

uncorrected energy = -45.26 eV/cell
relative energy among the computed polymorphs = 0.062 eV per atom
energy of formation from the pure elements = -0.1238 eV per atom
symmetry = P6_3/m

POSCAR file:
```
Zn4Ni3
1.0
6.8648 0.0000 0.0000
-3.4324 5.9451 0.0000
0.0000 0.0000 4.2502
Zn Ni
8 6
Direct
0.0869 0.4547 0.2500
0.3333 0.6667 0.7500
0.3678 0.9131 0.2500
0.4547 0.3678 0.7500
0.5453 0.6322 0.2500
0.6322 0.0869 0.7500
0.6667 0.3333 0.2500
0.9131 0.5453 0.7500
0.0426 0.2331 0.7500
0.1904 0.9574 0.7500
0.2331 0.1904 0.2500
0.7669 0.8096 0.7500
0.8096 0.0426 0.2500
0.9574 0.7669 0.2500
```



[24]
ReAgPd2 after structural relaxation, computed with PBE-GGA.

uncorrected energy = -23.38 eV/cell
energy of formation from the pure elements = 0.5547 eV per atom
symmetry = F-43m

POSCAR file:
```
ReAgPd2
1.0
0.0000 3.1392 3.1392
3.1392 0.0000 3.1392
3.1392 3.1392 0.0000
Re Ag Pd
1 1 2
Direct
0.0000 0.0000 0.0000
0.2500 0.2500 0.2500
0.5000 0.5000 0.5000
0.7500 0.7500 0.7500
```